A plane-wave DFT calculation with GGA+U was carried out for a relaxed Ac2TlWO8 crystal.

Values from the calculation:
- total moment (μB/f.u.) = 1.05
- total energy (eV/atom) = -6.97
- space-group type = P-1 (2)
- volume (Å³/cell) = 200
- N(E_F) (states/eV per cell) = 4.62

```
Ac2TlWO8
1.0
4.908 -0.210 0.064
-0.200 5.139 0.122
0.131 0.191 7.942
Ac Tl W O
2 1 1 8
Cartesian
2.110 2.451 6.139
2.729 2.668 1.989
0.065 0.096 3.971
0.000 0.000 0.000
0.509 3.839 1.406
3.435 3.845 7.722
3.863 0.416 1.612
4.330 1.281 6.722
1.404 1.275 0.406
0.976 4.703 6.516
3.421 3.568 4.273
1.418 1.551 3.855
```